[1]
Entry from the Open Quantum Materials Database: an optimized crystal structure of PrTlHgSe3 (PBE-GGA).

Cell: 11.3239 4.3447 14.3388 Å, 90.00 90.00 90.00°
Last column: nearest neighbours and their distance in Å.
Space group Pnma (No. 62)
Asymmetric unit:
Pr: 0.0104 0.2500 0.2433 x4  6 Se 3.01-3.06
Tl: 0.2283 0.7500 0.5008 x4  7 Se 3.30-3.51
Hg: 0.2412 0.2500 0.7097 x4  4 Se 2.64-2.77
Se: 0.0395 0.2500 0.6162 x4  1 Hg 2.65
Se: 0.0669 0.7500 0.1052 x4  1 Hg 2.64
Se: 0.2419 0.7500 0.8293 x4  2 Hg 2.77, 2 Pr 3.04-3.06



[2]
Entry from the Open Quantum Materials Database: an optimized crystal structure of PrTlHgSe3 (PBE-GGA).

Cell: 14.4658 4.3503 11.5501 Å, 90.00 90.00 90.00°
Last column: nearest neighbours and their distance in Å.
Space group Pnma (No. 62)
Asymmetric unit:
Pr: 0.0301 0.2500 0.1570 x4  6 Se 2.92-3.13
Tl: 0.2432 0.2500 0.4559 x4  5 Se 3.19-3.56
Hg: 0.0204 0.7500 0.3929 x4  4 Se 2.67-2.84
Se: 0.0940 0.7500 0.6207 x4  3 Hg 2.74-2.84
Se: 0.0987 0.2500 0.9191 x4  3 Pr 2.92-3.00, 2 Tl 3.19
Se: 0.1581 0.7500 0.2385 x4  1 Hg 2.67



[3]
Entry from the Open Quantum Materials Database: an optimized crystal structure of PrTlHgSe3 (PBE-GGA).

Cell: 8.3281 4.3342 10.6158 Å, 90.00 105.89 90.00°
Last column: nearest neighbours and their distance in Å.
Space group P2_1/m (No. 11)
Asymmetric unit:
Pr: 0.1972 0.2500 0.1352 x2  6 Se 2.92-3.18
Tl: 0.2330 0.7500 0.7145 x2  4 Se 3.24-3.43
Hg: 0.4146 0.7500 0.3849 x2  4 Se 2.66-2.89
Se: 0.0456 0.2500 0.8523 x2  3 Pr 2.92-2.99, 2 Tl 3.24
Se: 0.2491 0.2500 0.4434 x2  3 Hg 2.73-2.89
Se: 0.4501 0.7500 0.1436 x2  1 Hg 2.66



[4]
Entry from the Open Quantum Materials Database: an optimized crystal structure of PrTlHgSe3 (PBE-GGA).

Cell: 8.4977 4.4996 17.5998 Å, 90.00 90.00 90.00°
Last column: nearest neighbours and their distance in Å.
Space group Pnma (No. 62)
Asymmetric unit:
Pr: 0.2250 0.2500 0.0402 x4  7 Se 2.95-3.27
Tl: 0.0718 0.2500 0.8038 x4  6 Se 3.31-3.36, 2 Hg 3.59
Hg: 0.0653 0.2500 0.3405 x4  3 Se 2.66-2.75
Se: 0.0057 0.2500 0.5766 x4  2 Hg 2.75
Se: 0.1273 0.7500 0.9426 x4  3 Pr 2.95-3.01, 1 Hg 3.17
Se: 0.2203 0.2500 0.2094 x4  1 Hg 2.66



[5]
Entry from the Open Quantum Materials Database: an optimized crystal structure of PrTlHgSe3 (PBE-GGA).

Cell: 12.0109 4.4812 12.7935 Å, 90.00 90.00 90.00°
Last column: nearest neighbours and their distance in Å.
Space group Pnma (No. 62)
Asymmetric unit:
Pr: 0.0248 0.2500 0.1824 x4  6 Se 3.03-3.21
Tl: 0.1729 0.2500 0.4987 x4  5 Se 3.19-3.44, 2 Hg 3.51
Hg: 0.2488 0.7500 0.3003 x4  4 Se 2.65-2.75
Se: 0.0322 0.7500 0.3433 x4  1 Hg 2.66
Se: 0.0861 0.2500 0.9379 x4  1 Hg 2.65
Se: 0.2229 0.7500 0.6791 x4  2 Hg 2.75, 1 Pr 3.03



[6]
Entry from the Open Quantum Materials Database: an optimized crystal structure of PrTlHgSe3 (PBE-GGA).

Cell: 4.3343 14.5828 11.3232 Å, 90.00 90.00 90.00°
Last column: nearest neighbours and their distance in Å.
Space group Cmcm (No. 63)
Asymmetric unit:
Pr: 0.0000 0.0000 0.0000 x4  6 Se 3.01-3.06
Tl: 0.0000 0.2479 0.2500 x4  6 Se 3.32-3.50
Hg: 0.0000 0.4607 0.7500 x4  4 Se 2.65-2.77
Se: 0.0000 0.0792 0.7500 x4  2 Hg 2.77, 2 Pr 3.06
Se: 0.0000 0.3625 0.5534 x8  1 Hg 2.65



| no. | energy (eV/atom) | M_tot (μB per formula unit) |
| --- | --- | --- |
| 1 | -3.924 | 0.00 |
| 2 | -3.909 | 0.00 |
| 3 | -3.906 | 0.01 |
| 4 | -3.870 | 0.00 |
| 5 | -3.903 | 0.00 |
| 6 | -3.927 | 0.00 |